{"formula": "AcH2I", "functional": "GGA-PBE", "state": "relaxed", "total_energy_ev_per_atom": -3.993, "polymorph_energy_ev_per_fu": 0.17, "sg": "R-3m, No. 166", "cell": [[-0.638, 3.725, 1.859], [-0.036, 0.277, 4.202], [5.096, 2.253, 2.005]], "species": ["Ac", "I", "H", "H"], "fractional_positions": [[0.000, 0.000, 0.000], [0.500, 0.500, 0.500], [0.307, 0.307, 0.079], [0.693, 0.693, 0.921]]}